This record from Alexandria describes a relaxed structure of Tc3Ge4. The functional is PBE.

abc: 6.3325 6.3325 6.3325
angles: 83.94 83.94 83.94
Last column: nearest neighbours and their distance in Å.
Sites, in units of the cell vectors:
Tc  0.0000  0.5000  0.5000  6 Ge 2.50-2.68
Ge  0.7079  0.7079  0.7079  5 Tc 2.39-2.51
Ge  0.7567  0.2608  0.2608  4 Tc 2.47-2.68
Tc  0.0937  0.0937  0.0937  1 Tc 2.26, 4 Ge 2.39-2.47
Ge  0.2608  0.2608  0.7567  4 Tc 2.47-2.68
Tc  0.5000  0.5000  0.5000  8 Ge 2.51-2.58
Ge  0.2433  0.7392  0.7392  4 Tc 2.47-2.68
Ge  0.7392  0.7392  0.2433  4 Tc 2.47-2.68
Tc  0.5000  0.5000  0.0000  6 Ge 2.50-2.68
Ge  0.7392  0.2433  0.7392  4 Tc 2.47-2.68
Tc  0.9063  0.9063  0.9063  1 Tc 2.26, 4 Ge 2.39-2.47
Tc  0.5000  0.0000  0.5000  6 Ge 2.50-2.68
Ge  0.2608  0.7567  0.2608  4 Tc 2.47-2.68
Ge  0.2921  0.2921  0.2921  5 Tc 2.39-2.51

Energy of formation from the pure elements ... 2.18 eV per formula unit
SG ... R-3m (166)
Calculated volume ... 17.85 A^3/atom
Magnetization ... 0.001 μB per formula unit
DOS at the Fermi energy ... 0.943 states/eV/atom